This record from Alexandria via LeMat-Bulk describes an optimized crystal structure of LiCaBe2. The functional is GGA-PBE.

Volume in Å³/cell: 211.6
VASP energy in eV per atom: -2.6054
E above lowest polymorph in eV/atom: 0.000
ΔE_f in eV per atom: 0.24

Unit cell a=3.9977 b=3.9977 c=15.2924 alpha=90.00 beta=90.00 gamma=120.00
Space group R3m (No. 160, hexagonal axes)
Unique sites:
Li1 0.0000 0.0000 0.0000
Ca1 0.0000 0.0000 0.1910
Be1 0.0000 0.0000 0.3925
Be2 0.0000 0.0000 0.7200

=====

This record from Alexandria via LeMat-Bulk describes an optimized crystal structure of SrYNpO6. The functional is GGA-PBE.

Volume in Å³/cell: 300.1
VASP energy in eV per atom: -8.6421
ΔE_f (raw) in meV/atom: -2994

Unit cell a=5.8435 b=5.8435 c=10.1494 alpha=90.00 beta=90.00 gamma=120.00
Space group P-31c (No. 163)
Unique sites:
Sr1 0.0000 0.0000 0.0000
Y1 0.3333 0.6667 0.2500
Np1 0.3333 0.6667 0.7500
O1 0.0311 0.3825 0.6430

=====

This record from Alexandria via LeMat-Bulk describes an optimized crystal structure of BSOF2. The functional is GGA-PBE.

Volume in Å³/cell: 67.0
VASP energy in eV per atom: -3.5722
E above lowest polymorph in eV/atom: 1.092
ΔE_f (raw) in meV/atom: 329

Unit cell a=4.414 b=4.414 c=3.438 alpha=90.00 beta=90.00 gamma=90.00
Space group P4/mmm (No. 123)
Unique sites:
B1 0.000 0.000 0.000
S1 0.500 0.500 0.500
O1 0.500 0.500 0.000
F1 0.000 0.500 0.500

=====

This record from Alexandria via LeMat-Bulk describes an optimized crystal structure of LaY5Sc2. The functional is GGA-PBE.

Volume in Å³/cell: 988.4
VASP energy in eV per atom: -6.1929
E above lowest polymorph in eV/atom: 0.000
ΔE_f in eV per atom: 0.05

Unit cell a=11.369 b=12.225 c=7.111 alpha=90.00 beta=90.00 gamma=90.00
Space group Pbam (No. 55)
Unique sites:
La1 0.245 0.078 0.000
Y1 0.000 0.500 0.256
Y2 0.001 0.245 0.500
Y3 0.001 0.754 0.000
Y4 0.249 0.832 0.256
Sc1 0.000 0.000 0.261
Sc2 0.245 0.082 0.500

=====

This record from Alexandria via LeMat-Bulk describes an optimized crystal structure of Pm6MgAl5. The functional is GGA-PBE.

Volume in Å³/cell: 620.6
VASP energy in eV per atom: -4.4023
ΔE_f in eV per atom: -0.33

Unit cell a=5.276 b=15.853 c=7.420 alpha=90.00 beta=90.00 gamma=90.00
Space group Cmmm (No. 65)
Unique sites:
Pm1 0.000 0.000 0.244
Pm2 0.000 0.330 0.250
Mg1 0.000 0.500 0.500
Al1 0.000 0.160 0.500
Al2 0.000 0.166 0.000
Al3 0.000 0.500 0.000

=====

This record from Alexandria via LeMat-Bulk describes an optimized crystal structure of Co2Ir2Rh5. The functional is GGA-PBE.

Volume in Å³/cell: 244.9
VASP energy in eV per atom: -7.6071
ΔE_f in eV per atom: 0.03

Unit cell a=11.390 b=3.782 c=5.999 alpha=90.00 beta=108.57 gamma=90.00
Space group C2/m (No. 12)
Unique sites:
Co1 0.052 0.000 0.339
Ir1 0.108 0.500 0.659
Rh1 0.000 0.500 0.000
Rh2 0.164 0.000 0.998
Rh3 0.223 0.500 0.335

=====

This record from Alexandria via LeMat-Bulk describes an optimized crystal structure of Ho3Er3ZnTc2. The functional is GGA-PBE.

Volume in Å³/cell: 215.1
VASP energy in eV per atom: -5.5151
ΔE_f in eV per atom: -0.02

Unit cell a=8.0570 b=8.0570 c=3.8265 alpha=90.00 beta=90.00 gamma=120.00
Space group P-62m (No. 189)
Unique sites:
Ho1 0.0000 0.7209 0.0000
Er1 0.0000 0.3979 0.5000
Zn1 0.0000 0.0000 0.5000
Tc1 0.3333 0.6667 0.0000

=====

This record from Alexandria via LeMat-Bulk describes an optimized crystal structure of MnZn2Ir2. The functional is GGA-PBE.

Volume in Å³/cell: 157.2
VASP energy in eV per atom: -5.8771
E above lowest polymorph in eV/atom: 0.000
ΔE_f in eV per atom: 0.01

Unit cell a=6.458 b=6.458 c=3.769 alpha=90.00 beta=90.00 gamma=90.00
Space group P4/mbm (No. 127)
Unique sites:
Mn1 0.000 0.000 0.000
Zn1 0.165 0.335 0.500
Ir1 0.138 0.638 0.000